Below is an optimized crystal structure of Ho5Mg4Zr, with properties calculated at the GGA-PBE level.

Cell and atoms, written as extended XYZ:
```
10
Lattice="3.5453 0.0000 0.0000 0.0000 3.5453 0.0000 0.0000 0.0000 21.5521" Properties=species:S:1:pos:R:3 pbc="T T T"
Ho 1.7727 1.7727 2.1854
Ho 1.7727 1.7727 6.6139
Ho 1.7727 1.7727 10.7760
Ho 1.7727 1.7727 14.9382
Ho 1.7727 1.7727 19.3667
Mg 0.0000 0.0000 4.4636
Mg 0.0000 0.0000 8.6926
Mg 0.0000 0.0000 12.8595
Mg 0.0000 0.0000 17.0885
Zr 0.0000 0.0000 0.0000
```

Calculated values
Its calculated formation energy is -32.6 meV/atom.

=====

Below is an optimized crystal structure of KHoPb2, with properties calculated at the GGA-PBE level.

Cell and atoms, written as extended XYZ:
```
4
Lattice="4.0965 0.0000 0.0000 0.0000 4.0965 0.0000 0.0000 0.0000 8.0678" Properties=species:S:1:pos:R:3 pbc="T T T"
Pb 0.0000 0.0000 6.4787
Pb 0.0000 0.0000 1.5891
K 2.0483 2.0483 4.0339
Ho 2.0483 2.0483 0.0000
```

Calculated values
The distance to the lowest polymorph of the same formula is 0.0 meV/atom. Its calculated formation energy is -300.7 meV/atom.